Entry 1:
A plane-wave DFT calculation with PBE-GGA was carried out for an optimized crystal structure of Ti7Nb2In.

Cell: 4.7604 7.4547 7.4547 Å, 124.19 90.00 90.00°
Sites, in units of the cell vectors:
Ti 0.0000 0.7535 0.2464
Ti 0.0000 0.2465 0.7536
Ti 0.5000 0.0711 0.2819
Ti 0.5000 0.9289 0.7181
Ti 0.5000 0.2819 0.0711
Ti 0.5000 0.7181 0.9289
Ti 0.5000 0.5000 0.5000
Nb 0.5000 0.7140 0.2860
Nb 0.5000 0.2860 0.7140
In 0.0000 0.0000 0.0000

## Properties
DOS at the Fermi energy   1.36 states/eV/atom
Raw total energy   -7.076 eV/atom
Total moment   0.00 μB per formula unit

***

Entry 2:
A plane-wave DFT calculation with PBE-GGA was carried out for an optimized crystal structure of TiNb2In.

Cell: 2.8894 5.8767 9.7336 Å, 85.48 107.26 105.29°
Sites, in units of the cell vectors:
Ti 0.0425 0.9188 0.0709
Ti 0.0410 0.4188 0.0709
Nb 0.0880 0.6762 0.8301
Nb 0.9970 0.1611 0.3116
Nb 0.5668 0.6755 0.3118
Nb 0.5182 0.1618 0.8300
In 0.5428 0.9188 0.5709
In 0.0433 0.4188 0.5709

## Properties
DOS at the Fermi energy   0.84 states/eV/atom
Raw total energy   -7.589 eV/atom
Total moment   0.02 μB per formula unit

***

Entry 3:
A plane-wave DFT calculation with PBE-GGA was carried out for an optimized crystal structure of Ti2Nb2In3.

Cell: 4.6524 2.9183 10.2803 Å, 90.00 76.92 90.00°
Sites, in units of the cell vectors:
Ti 0.5709 0.5000 0.8582
Ti 0.4291 0.5000 0.1418
Nb 0.7116 0.5000 0.5768
Nb 0.2884 0.5000 0.4232
In 0.8504 0.0000 0.2993
In 0.0000 0.0000 0.0000
In 0.1496 0.0000 0.7007

## Properties
DOS at the Fermi energy   0.75 states/eV/atom
Raw total energy   -6.316 eV/atom
Total moment   0.00 μB per formula unit

***

Entry 4:
A plane-wave DFT calculation with PBE-GGA was carried out for an optimized crystal structure of TiNb2In2.

Cell: 4.7997 4.7989 5.5912 Å, 64.57 64.58 59.99°
Sites, in units of the cell vectors:
Ti 0.0000 0.0000 0.0000
Nb 0.8084 0.8086 0.5746
Nb 0.1916 0.1914 0.4254
In 0.4008 0.4009 0.7975
In 0.5992 0.5991 0.2025

## Properties
Relative energy among the computed polymorphs   0 meV per atom
DOS at the Fermi energy   0.85 states/eV/atom
Raw total energy   -6.716 eV/atom
Total moment   0.05 μB per formula unit

***

Entry 5:
A plane-wave DFT calculation with PBE-GGA was carried out for an optimized crystal structure of Ti3Nb3In.

Cell: 4.7880 7.8671 7.8671 Å, 120.00 90.00 90.00°
Sites, in units of the cell vectors:
Ti 0.7500 0.1851 0.2324
Ti 0.7500 0.0473 0.8149
Ti 0.2500 0.2324 0.0473
Ti 0.7500 0.7676 0.9527
Ti 0.2500 0.9527 0.1851
Ti 0.2500 0.8149 0.7676
Nb 0.7500 0.4569 0.0877
Nb 0.7500 0.6307 0.5431
Nb 0.2500 0.0877 0.6307
Nb 0.7500 0.9123 0.3693
Nb 0.2500 0.3693 0.4569
Nb 0.2500 0.5431 0.9123
In 0.2500 0.6667 0.3333
In 0.7500 0.3333 0.6667

## Properties
Relative energy among the computed polymorphs   0 meV per atom
DOS at the Fermi energy   1.17 states/eV/atom
Raw total energy   -8.003 eV/atom
Total moment   0.00 μB per formula unit

***

Entry 6:
A plane-wave DFT calculation with PBE-GGA was carried out for an optimized crystal structure of TiNbInW.

Cell: 4.6571 4.6571 4.6571 Å, 60.00 60.00 60.00°
Sites, in units of the cell vectors:
Nb 0.5000 0.5000 0.5000
Ti 0.0000 0.0000 0.0000
W 0.7500 0.7500 0.7500
In 0.2500 0.2500 0.2500

## Properties
DOS at the Fermi energy   0.34 states/eV/atom
Raw total energy   -8.369 eV/atom
Total moment   0.00 μB per formula unit

***

Entry 7:
A plane-wave DFT calculation with PBE-GGA was carried out for an optimized crystal structure of TiNb2InW.

Cell: 4.7481 4.6052 4.7481 Å, 90.00 90.00 90.00°
Sites, in units of the cell vectors:
Nb 0.0000 0.0000 0.5000
Nb 0.5000 0.0000 0.0000
Ti 0.0000 0.0000 0.0000
W 0.0000 0.5000 0.0000
In 0.5000 0.5000 0.5000

## Properties
DOS at the Fermi energy   0.93 states/eV/atom
Raw total energy   -7.552 eV/atom
Total moment   0.00 μB per formula unit

***

Entry 8:
A plane-wave DFT calculation with PBE-GGA was carried out for an optimized crystal structure of Nb2TlIn2.

Cell: 8.7957 8.7957 3.0048 Å, 90.00 90.00 90.00°
Sites, in units of the cell vectors:
Tl 0.0000 0.0000 0.0000
Tl 0.5000 0.5000 0.0000
Nb 0.1070 0.6070 0.5000
Nb 0.6070 0.8930 0.5000
Nb 0.8930 0.3930 0.5000
Nb 0.3930 0.1070 0.5000
In 0.3169 0.8169 0.0000
In 0.8169 0.6831 0.0000
In 0.6831 0.1831 0.0000
In 0.1831 0.3169 0.0000

## Properties
Relative energy among the computed polymorphs   87 meV per atom
DOS at the Fermi energy   0.91 states/eV/atom
Raw total energy   -5.287 eV/atom
Total moment   0.00 μB per formula unit

***

| no. | ΔE_f (meV per atom) |
| --- | --- |
| 1 | 739 |
| 2 | 104 |
| 3 | -9 |
| 4 | -14 |
| 5 | 87 |
| 6 | 45 |
| 7 | 1194 |
| 8 | 309 |